# Tb6Sn3C2

Crystalline Tb6Sn3C2 at its relaxed geometry (PBE-GGA, Alexandria via LeMat-Bulk).

Structure (POSCAR):
```
Tb6Sn3C2
1.0
-0.016 -3.169 3.623
-0.301 -3.615 -3.164
12.610 2.779 -0.712
Tb Sn C
6 3 2
direct
0.084 0.584 0.168 Tb
0.584 0.084 0.168 Tb
0.916 0.416 0.832 Tb
0.416 0.916 0.832 Tb
0.695 0.695 0.391 Tb
0.305 0.305 0.609 Tb
0.000 0.000 0.000 Sn
0.823 0.823 0.646 Sn
0.177 0.177 0.354 Sn
0.396 0.396 0.792 C
0.604 0.604 0.208 C
```

Values from the calculation:
Magnetization ... 0.0 μB/f.u.
Formation energy ... -0.47 eV per atom
V ... 26.280 A^3/atom
SG ... I4/mmm (139)



# Na2HfRu

Crystalline Na2HfRu at its relaxed geometry (PBE-GGA, Alexandria via LeMat-Bulk).

Structure (POSCAR):
```
Na2HfRu
1.0
3.768 0.000 0.000
0.000 3.768 0.000
1.884 1.884 11.733
Ru Hf Na
2 2 4
direct
0.500 0.500 0.000 Ru
0.250 0.750 0.500 Ru
0.000 0.000 0.000 Hf
0.750 0.250 0.500 Hf
0.610 0.125 0.250 Na
0.140 0.625 0.250 Na
0.375 0.390 0.750 Na
0.875 0.860 0.750 Na
```

Values from the calculation:
Excess energy over the best structure of this formula in the dataset ... 0 meV/atom
Magnetization ... 0.0 μB/f.u.
Formation energy ... 0.42 eV per atom
V ... 20.822 A^3/atom
SG ... I-42d (122)



# BeCdCl2

Crystalline BeCdCl2 at its relaxed geometry (PBE-GGA, Alexandria via LeMat-Bulk).

Structure (POSCAR):
```
BeCdCl2
1.0
3.150 0.000 0.000
0.000 3.150 0.000
0.000 0.000 8.125
Be Cl Cd
1 2 1
direct
0.000 0.000 0.468 Be
0.000 0.000 0.951 Cl
0.500 0.500 0.339 Cl
0.500 0.500 0.742 Cd
```

Values from the calculation:
Excess energy over the best structure of this formula in the dataset ... 758 meV/atom
Magnetization ... 0.0 μB/f.u.
Formation energy (no corrections) ... -0.1475 eV per atom
V ... 20.155 A^3/atom
SG ... P4mm (99)



# SrCrCl2

Crystalline SrCrCl2 at its relaxed geometry (PBE-GGA, Alexandria via LeMat-Bulk).

Structure (POSCAR):
```
SrCrCl2
1.0
-1.531 -3.574 -3.712
-0.525 -3.744 3.821
-9.021 -1.397 1.174
Sr Cl Cr
2 4 2
direct
0.000 0.000 0.000 Sr
0.750 0.250 0.500 Sr
0.596 0.125 0.250 Cl
0.154 0.625 0.250 Cl
0.375 0.404 0.750 Cl
0.875 0.846 0.750 Cl
0.500 0.500 0.000 Cr
0.250 0.750 0.500 Cr
```

Values from the calculation:
Excess energy over the best structure of this formula in the dataset ... 101 meV/atom
Magnetization ... 5.5 μB/f.u.
Formation energy (no corrections) ... -0.8178 eV per atom
V ... 30.277 A^3/atom
SG ... I-42d (122)